meta-GGA SCAN LiCuPt2, PBEsol geometry; SG = No. 123; energy = -39.89 eV/atom
1.0
3.815 0.000 0.000
0.000 3.815 0.000
0.000 0.000 3.613
Li Cu Pt
1 1 2
direct
0.000 0.000 0.000
0.500 0.500 0.000
0.000 0.500 0.500
0.500 0.000 0.500